CuReNi2: relaxed, PBEsol.

Cell: 4.380 4.380 4.380 Å, 131.34 131.34 71.27°
Sites, in units of the cell vectors:
Cu 0.000 0.000 0.000
Re 0.250 0.750 0.500
Ni 0.500 0.500 0.000
Ni 0.750 0.250 0.500

* crystal system: tetragonal
* energy of formation from the pure elements: 0.2087 eV per atom
* raw total energy: -29.1 eV/cell
* V: 11.59 Å³ per atom
* theoretical density: 13.15 Mg/m³
* M_tot: 0.000 μB per atom



BaZr2In: relaxed, PBEsol.

Cell: 5.661 5.661 5.661 Å, 130.77 130.77 72.18°
Sites, in units of the cell vectors:
Ba 0.000 0.000 0.000
Zr 0.250 0.750 0.500
Zr 0.750 0.250 0.500
In 0.500 0.500 0.000

* crystal system: tetragonal
* energy of formation from the pure elements: 0.3191 eV per atom
* raw total energy: -22.0 eV/cell
* V: 25.44 Å³ per atom
* theoretical density: 7.09 Mg/m³
* M_tot: 0.000 μB per atom



TaCoRh2: relaxed, PBEsol.

Cell: 2.793 3.605 5.463 Å, 90.00 90.00 90.00°
Sites, in units of the cell vectors:
Ta 0.000 0.000 0.000
Co 0.000 0.000 0.500
Rh 0.500 0.500 0.264
Rh 0.500 0.500 0.736

* crystal system: orthorhombic
* energy of formation from the pure elements: -0.2922 eV per atom
* raw total energy: -37.7 eV/cell
* V: 13.75 Å³ per atom
* theoretical density: 13.45 Mg/m³
* M_tot: 0.461 μB per atom



CrSi3Os: relaxed, PBEsol.

Cell: 4.604 4.604 4.604 Å, 90.00 90.00 90.00°
Sites, in units of the cell vectors:
Cr 0.000 0.000 0.000
Si 0.000 0.500 0.500
Si 0.500 0.000 0.500
Si 0.500 0.500 0.000
Os 0.500 0.500 0.500

* crystal system: cubic
* raw total energy: -35.4 eV/cell
* V: 19.52 Å³ per atom
* energy relative to the elements, uncorrected: 0.8578 eV/atom
* theoretical density: 5.55 Mg/m³
* M_tot: 0.853 μB per atom



TaCr2As: relaxed, PBEsol.

Cell: 3.126 3.126 5.575 Å, 90.00 90.00 90.00°
Sites, in units of the cell vectors:
Ta 0.000 0.000 0.000
Cr 0.500 0.500 0.266
Cr 0.500 0.500 0.734
As 0.000 0.000 0.500

* crystal system: tetragonal
* energy of formation from the pure elements: -0.0347 eV per atom
* raw total energy: -38.3 eV/cell
* V: 13.62 Å³ per atom
* theoretical density: 10.97 Mg/m³
* M_tot: 0.424 μB per atom



Co2PtW: relaxed, PBEsol.

Cell: 4.433 4.433 4.433 Å, 129.83 129.83 73.68°
Sites, in units of the cell vectors:
Co 0.250 0.750 0.500
Co 0.750 0.250 0.500
Pt 0.000 0.000 0.000
W 0.500 0.500 0.000

* crystal system: tetragonal
* energy of formation from the pure elements: -0.1122 eV per atom
* raw total energy: -36.7 eV/cell
* V: 12.54 Å³ per atom
* theoretical density: 16.45 Mg/m³
* M_tot: 0.170 μB per atom



NbCdGa2C: relaxed, PBEsol.

Cell: 5.121 5.121 4.079 Å, 90.00 90.00 90.00°
Sites, in units of the cell vectors:
Nb 0.000 0.000 0.000
Cd 0.500 0.500 0.500
Ga 0.000 0.500 0.000
Ga 0.500 0.000 0.000
C 0.000 0.000 0.500

* crystal system: tetragonal
* energy of formation from the pure elements: 0.9440 eV per atom
* raw total energy: -23.6 eV/cell
* V: 21.39 Å³ per atom
* theoretical density: 5.54 Mg/m³
* M_tot: 0.000 μB per atom



Tm2MgIn: relaxed, PBEsol.

Cell: 5.172 5.172 5.172 Å, 60.00 60.00 60.00°
Sites, in units of the cell vectors:
Tm 0.250 0.250 0.250
Tm 0.750 0.750 0.750
Mg 0.000 0.000 0.000
In 0.500 0.500 0.500

* crystal system: cubic
* energy of formation from the pure elements: -0.3190 eV per atom
* raw total energy: -15.8 eV/cell
* V: 24.46 Å³ per atom
* theoretical density: 8.10 Mg/m³
* M_tot: 0.000 μB per atom